Model a:
Here is a relaxed structure of Cd3SnPd3 from Alexandria via LeMat-Bulk. Energies are from GGA-PBE.

Cell and atoms, written as POSCAR:
```
Cd3SnPd3
1.0
-2.7971 1.5076 5.8034
0.2003 -6.3368 1.8925
5.6213 0.9163 2.4704
Pd Cd Sn
6 6 2
Cartesian
3.0418 -4.8918 6.6576
1.3565 0.2211 0.5961
1.4815 -2.9432 1.5533
-0.0173 0.9790 3.5088
1.5431 -0.9697 8.6130
4.2648 0.6952 1.8743
-1.9706 -0.6554 4.7251
0.8932 -3.1076 6.9177
0.7949 -0.0791 6.0191
2.2296 -3.8338 4.1472
-0.6262 -4.1738 2.9709
2.1313 -0.8053 3.2486
-1.9527 -3.6314 5.7871
-0.6441 -1.1978 1.9088
```

Computed properties:
Its space group is Cmmm. As for the density of states at the Fermi level: 5.27 states/eV/cell.


Model b:
Here is a relaxed structure of Cd3SnPd3 from Alexandria via LeMat-Bulk. Energies are from GGA-PBE.

Cell and atoms, written as POSCAR:
```
Cd3SnPd3
1.0
5.2964 -0.0292 -1.8507
-2.6978 4.6640 -1.9090
0.0169 -0.0292 5.6104
Cd Pd Sn
3 3 1
Cartesian
1.2985 2.3205 0.9188
2.6375 0.0023 -0.9319
-0.0013 0.0023 2.7973
1.2902 2.3339 -1.8868
-1.3500 2.3339 1.8444
2.6469 -0.0131 1.8730
-1.3583 2.3482 -0.9611
```

Computed properties:
Its space group is R-3m. As for the density of states at the Fermi level: 3.05 states/eV/cell.


model b is preferred energetically. Next in line: 10 meV per atom higher.


Model a:
Here is a relaxed structure of CdSn4Pd2 from Alexandria via LeMat-Bulk. Energies are from GGA-PBE.

Cell and atoms, written as POSCAR:
```
CdSn4Pd2
1.0
-3.6788 2.6201 -0.2661
-4.1034 -1.8842 -0.2854
-3.2536 0.2674 9.1528
Cd Pd Sn
1 2 4
Cartesian
0.0000 0.0000 0.0000
-7.9813 0.7425 2.2679
-3.0544 0.2607 6.3334
-2.8568 0.2541 3.5350
-5.3064 0.4945 1.3061
-8.1790 0.7491 5.0663
-5.7294 0.5087 7.2952
```

Computed properties:
Its space group is R-3m. As for the density of states at the Fermi level: 2.61 states/eV/cell.


Model b:
Here is a relaxed structure of CdSn4Pd2 from Alexandria via LeMat-Bulk. Energies are from GGA-PBE.

Cell and atoms, written as POSCAR:
```
CdSn4Pd2
1.0
5.4127 0.0000 0.0000
0.0000 5.4127 0.0000
2.7063 2.7063 6.7210
Pd Sn Cd
2 4 1
Cartesian
2.7063 2.7063 1.3329
5.4127 5.4127 5.3882
2.7063 2.7063 3.8805
5.4127 5.4127 2.8405
2.7063 0.0000 0.0000
0.0000 2.7063 0.0000
0.0000 0.0000 0.0000
```

Computed properties:
Its space group is I4/mmm. As for the density of states at the Fermi level: 5.20 states/eV/cell.


model a is preferred energetically. Next in line: 605 meV per atom higher.


Model a:
Here is a relaxed structure of Cd3SnPd from Alexandria via LeMat-Bulk. Energies are from GGA-PBE.

Cell and atoms, written as POSCAR:
```
Cd3SnPd
1.0
6.9284 -0.1365 -0.2504
-2.0269 6.6267 0.2504
-2.9426 -2.8736 5.3430
Sn Cd Pd
2 6 2
Cartesian
-0.4437 5.4310 1.2475
2.4026 -1.8145 4.0955
3.4981 2.4541 0.6685
-2.7760 3.9471 3.7888
4.7349 -0.3305 1.5542
-1.5392 1.1624 4.6745
-0.4136 2.1629 1.8045
2.3725 1.4537 3.5385
1.6713 3.8338 2.1986
0.2876 -0.2172 3.1444
```

Computed properties:
Its space group is C2/m. As for the density of states at the Fermi level: 3.61 states/eV/cell.


Model b:
Here is a relaxed structure of Cd3SnPd from Alexandria via LeMat-Bulk. Energies are from GGA-PBE.

Cell and atoms, written as POSCAR:
```
Cd3SnPd
1.0
5.1543 0.0000 0.0000
0.0000 5.1543 0.0000
0.0000 0.0000 5.1543
Pd Sn Cd
1 1 3
Cartesian
0.0000 0.0000 0.0000
2.5771 2.5771 2.5771
0.0000 0.0000 2.5771
0.0000 2.5771 0.0000
2.5771 0.0000 0.0000
```

Computed properties:
Its space group is Pm-3m. As for the density of states at the Fermi level: 2.82 states/eV/cell.


Model c:
Here is a relaxed structure of Cd3SnPd from Alexandria via LeMat-Bulk. Energies are from GGA-PBE.

Cell and atoms, written as POSCAR:
```
Cd3SnPd
1.0
-2.7506 -0.8956 1.1953
3.1916 -6.8189 2.2387
2.2942 3.7230 8.0690
Cd Pd Sn
6 2 2
Cartesian
1.1459 2.3276 6.4295
0.9615 1.4308 9.4315
2.8883 -3.6136 5.9915
1.7738 -5.4223 2.0715
1.5893 -6.3191 5.0735
-0.1531 -0.3779 5.5115
2.0014 -2.8875 8.5925
0.7338 -1.1040 2.9105
2.4517 -0.4643 7.3464
0.2835 -3.5272 4.1566
```

Computed properties:
Its space group is Pmmn. As for the density of states at the Fermi level: 3.93 states/eV/cell.


model c is preferred energetically. Next in line: 47 meV per atom higher.


Model a:
Here is a relaxed structure of CdSn2Pd5 from Alexandria via LeMat-Bulk. Energies are from GGA-PBE.

Cell and atoms, written as POSCAR:
```
CdSn2Pd5
1.0
-1.6339 2.9327 -3.5120
3.1598 -1.9739 -3.1184
-4.8017 -4.5470 1.7975
Pd Cd Sn
5 1 2
Cartesian
-1.4335 -4.0219 -2.6916
-3.8303 -1.5686 -2.8884
0.7630 0.4794 -3.3152
0.5545 -2.0196 -1.9445
-1.8423 0.4337 -2.1413
0.0000 0.0000 0.0000
-2.1169 -2.1320 -0.7955
-1.1589 -1.4561 -4.0374
```

Computed properties:
Its space group is I4/mmm. As for the density of states at the Fermi level: 4.04 states/eV/cell.


Model b:
Here is a relaxed structure of CdSn2Pd5 from Alexandria via LeMat-Bulk. Energies are from GGA-PBE.

Cell and atoms, written as POSCAR:
```
CdSn2Pd5
1.0
2.9915 0.0000 0.0000
-1.4958 8.8308 0.0000
0.0000 0.0000 11.5561
Pd Sn Cd
10 4 2
Cartesian
0.0000 0.0958 1.4818
0.0000 4.6258 1.2927
0.0000 4.6258 4.4853
1.4958 4.2050 7.0708
1.4958 8.7350 7.2598
0.0000 2.3371 8.6670
1.4958 8.7350 10.0742
1.4958 4.2050 10.2633
0.0000 0.0958 4.2962
1.4957 6.4937 2.8890
1.4958 6.6066 0.1504
0.0000 2.2242 5.9284
1.4958 6.6066 5.6277
0.0000 2.2242 11.4057
1.4958 6.4063 8.6670
0.0000 2.4244 2.8890
```

Computed properties:
Its space group is Cmcm. As for the density of states at the Fermi level: 7.63 states/eV/cell.


model a is preferred energetically. Next in line: 202 meV per atom higher.